{
  "formula": "Mg3IrRu",
  "functional": "PBE-GGA",
  "state": "relaxed",
  "delta_e_f_ev_per_atom": 0.7299,
  "spacegroup": "No. 221",
  "relative_energy_mev_per_atom": 0,
  "e_tot_ev_per_fu": -19.27,
  "cell": [[4.830, 0.000, 0.000], [0.000, 4.830, 0.000], [0.000, 0.000, 4.830]],
  "species": ["Ru", "Mg", "Mg", "Mg", "Ir"],
  "fractional_positions": [[0.500, 0.500, 0.500], [0.000, 0.500, 0.000], [0.000, 0.000, 0.500], [0.500, 0.000, 0.000], [0.000, 0.000, 0.000]]
}

=====

{
  "formula": "Ca2TcSe",
  "functional": "PBE-GGA",
  "state": "relaxed",
  "spacegroup": "No. 69",
  "e_tot_ev_per_fu": -17.72,
  "cell": [[5.239, 0.071, -0.002], [1.105, 5.122, 0.002], [-3.171, -2.598, 3.307]],
  "species": ["Ca", "Ca", "Tc", "Se"],
  "fractional_positions": [[0.000, 0.000, 0.000], [0.500, 0.500, 0.000], [0.250, 0.750, 0.500], [0.750, 0.250, 0.500]]
}

=====

{
  "formula": "Ho3CSe",
  "functional": "PBE-GGA",
  "state": "relaxed",
  "spacegroup": "No. 63",
  "relative_energy_mev_per_atom": 178,
  "e_tot_ev_per_fu": -30.01,
  "cell": [[3.686, -0.269, 0.000], [-1.203, 8.912, 0.000], [0.000, 0.000, 7.161]],
  "species": ["Ho", "Ho", "Ho", "Ho", "Ho", "Ho", "C", "C", "Se", "Se"],
  "fractional_positions": [[0.646, 0.792, 0.964], [0.354, 0.208, 0.036], [0.646, 0.792, 0.536], [0.354, 0.208, 0.464], [0.010, 0.520, 0.250], [0.990, 0.480, 0.750], [0.883, 0.266, 0.250], [0.117, 0.734, 0.750], [0.204, 0.907, 0.250], [0.796, 0.093, 0.750]]
}

=====

{
  "formula": "LiPmCuGe2",
  "functional": "PBE-GGA",
  "state": "relaxed",
  "delta_e_f_ev_per_atom": -0.5815,
  "spacegroup": "No. 119",
  "e_tot_ev_per_fu": -22.90,
  "cell": [[-1.619, 1.151, -3.622], [-3.667, -1.508, 1.160], [1.367, 4.869, 3.292]],
  "species": ["Li", "Pm", "Cu", "Ge", "Ge"],
  "fractional_positions": [[0.750, 0.250, 0.500], [0.000, 0.000, 0.000], [0.250, 0.750, 0.500], [0.619, 0.619, 0.238], [0.381, 0.381, 0.762]]
}

=====

{
  "formula": "Cd2TeRu",
  "functional": "PBE-GGA",
  "state": "relaxed",
  "spacegroup": "No. 122",
  "relative_energy_mev_per_atom": 225,
  "e_tot_ev_per_fu": -13.17,
  "cell": [[-6.067, -0.657, 8.492], [-6.276, -6.703, -5.003], [-4.815, -5.564, 2.568]],
  "species": ["Ru", "Ru", "Te", "Te", "Cd", "Cd", "Cd", "Cd"],
  "fractional_positions": [[0.500, 0.500, 0.000], [0.250, 0.750, 0.500], [0.000, 0.000, 0.000], [0.750, 0.250, 0.500], [0.375, 0.125, 0.250], [0.375, 0.625, 0.250], [0.375, 0.625, 0.750], [0.875, 0.625, 0.750]]
}

=====

{
  "formula": "SmYMgAg",
  "functional": "PBE-GGA",
  "state": "relaxed",
  "delta_e_f_ev_per_atom": -0.1930,
  "spacegroup": "No. 99",
  "relative_energy_mev_per_atom": 0,
  "e_tot_ev_per_fu": -16.40,
  "cell": [[-1.401, -1.414, -3.197], [-0.510, -3.324, 1.694], [-6.783, 2.085, 2.050]],
  "species": ["Sm", "Y", "Mg", "Ag"],
  "fractional_positions": [[0.000, 0.000, 0.364], [0.000, 0.000, 0.848], [0.500, 0.500, 0.101], [0.500, 0.500, 0.615]]
}